This record from the Alexandria database describes an optimized crystal structure of Sc2CrNO. The functional is GGA+U.

Results
* density: 3.470 g/cm³
* SG: P4/mmm
* energy: -31.38 eV for the cell shown

Cell: 4.7965 3.5756 4.7965 Å, 90.00 90.00 90.00°
Each line ends with the local moment (μB).
Sites, in units of the cell vectors:
1 Sc 0.0000 0.0000 0.5000  -0.29
2 Sc 0.5000 0.0000 0.0000  -0.17
3 Cr 0.0000 0.0000 0.0000  2.63
4 O 0.0000 0.5000 0.0000  -0.07
5 N 0.5000 0.5000 0.5000  0.10